! Sc2AlHg GGA-PBE relaxed; values from VASP
! Space group = Pmmm (47)
! Size of the total moment = 0.45 μB/cell
&SYSTEM
  ibrav = 0, nat = 4, ntyp = 3
/
ATOMIC_SPECIES
Sc 44.96 Sc.upf
Al 26.98 Al.upf
Hg 200.59 Hg.upf
CELL_PARAMETERS angstrom
3.1984 0.0000 0.0000
0.0000 4.1181 0.0000
0.0000 0.0000 6.2284
ATOMIC_POSITIONS angstrom
Sc 0.0000 0.0000 1.5112
Sc 0.0000 0.0000 4.7171
Al 1.5992 2.0590 0.0000
Hg 1.5992 2.0590 3.1142

---

! ScAlHg GGA-PBE relaxed; values from VASP
! Space group = P2/m (10)
! Size of the total moment = 0.00 μB/cell
&SYSTEM
  ibrav = 0, nat = 6, ntyp = 3
/
ATOMIC_SPECIES
Sc 44.96 Sc.upf
Al 26.98 Al.upf
Hg 200.59 Hg.upf
CELL_PARAMETERS angstrom
4.3446 0.0000 0.0000
0.0000 4.1778 0.0000
-2.1847 0.0000 6.5897
ATOMIC_POSITIONS angstrom
Sc -0.0046 0.0000 2.0289
Sc 2.1645 0.0000 4.5608
Al 0.0000 2.0889 0.0000
Al 2.1723 0.0000 0.0000
Hg -0.0082 2.0889 4.4697
Hg 2.1681 2.0889 2.1200

---

E_tot in eV per atom, matching the order above: -4.58; -3.80